[1]
The following is a DFT calculation (GGA-PBEsol) of a relaxed structure of LiCdSi2.

abc: 5.1158 5.8831 5.8831
angles: 79.10 64.23 64.23
Sites, in units of the cell vectors:
Si: 0.8750 0.4919 0.0081
Si: 0.1169 0.0081 0.5081
Si: 0.6331 0.9919 0.4919
Cd: 0.0000 0.0000 0.0000
Li: 0.2500 0.5000 0.5000
Si: 0.3750 0.5081 0.9919
Li: 0.5000 0.0000 0.0000
Cd: 0.7500 0.5000 0.5000

Results
Raw formation energy ... 0.331 eV/atom
SG ... No. 122
E ... -26.7 eV/cell


[2]
The following is a DFT calculation (GGA-PBEsol) of a relaxed structure of LiCdSi2.

abc: 3.7629 4.2529 5.0481
angles: 114.91 111.88 90.00
Sites, in units of the cell vectors:
Cd: 0.4914 0.4914 0.9828
Si: 0.0215 0.0215 0.0429
Si: 0.7251 0.2251 0.4501
Li: 0.2621 0.7621 0.5242

Results
Raw formation energy ... 0.120 eV/atom
SG ... No. 44
E ... -14.2 eV/cell


[3]
The following is a DFT calculation (GGA-PBEsol) of a relaxed structure of LiCdSi.

abc: 3.0479 4.4736 4.4736
angles: 120.00 90.00 90.00
Sites, in units of the cell vectors:
Cd: 0.5000 0.0000 0.0000
Li: 0.0000 0.3333 0.6667
Si: 0.5000 0.6667 0.3333

Results
Raw formation energy ... -0.032 eV/atom
SG ... No. 187
E ... -9.0 eV/cell


Question: The highest E belongs to which entry?
Answer: LiCdSi